1.
Density functional theory data (PBE-GGA) for a relaxed YCr2Pb crystal.

a = 6.107 Å, b = 6.107 Å, c = 6.107 Å
α = 103.09°, β = 103.09°, γ = 123.16°
Fractional coordinates of all 8 atoms:
Y1 0.000 0.000 0.000
Y2 0.750 0.250 0.500
Cr1 0.148 0.625 0.023
Cr2 0.375 0.398 0.523
Cr3 0.602 0.125 0.977
Cr4 0.875 0.852 0.477
Pb1 0.250 0.750 0.500
Pb2 0.500 0.500 0.000

Summary:
DFT formation energy: 1224 meV/atom
Space-group type: No. 122

---

2.
Density functional theory data (PBE-GGA) for a relaxed KRb2TcF6 crystal.

a = 12.887 Å, b = 12.887 Å, c = 12.887 Å
α = 28.13°, β = 28.13°, γ = 28.13°
Fractional coordinates of all 20 atoms:
K1 0.163 0.163 0.163
K2 0.837 0.837 0.837
Rb1 0.269 0.269 0.269
Rb2 0.413 0.413 0.413
Rb3 0.587 0.587 0.587
Rb4 0.731 0.731 0.731
Tc1 0.000 0.000 0.000
Tc2 0.500 0.500 0.500
F1 0.054 0.054 0.534
F2 0.054 0.534 0.054
F3 0.177 0.177 0.735
F4 0.177 0.735 0.177
F5 0.265 0.823 0.823
F6 0.466 0.946 0.946
F7 0.534 0.054 0.054
F8 0.735 0.177 0.177
F9 0.823 0.265 0.823
F10 0.823 0.823 0.265
F11 0.946 0.466 0.946
F12 0.946 0.946 0.466

Summary:
Space-group type: No. 166
ΔE_f (raw): -1.9505 eV per atom

---

3.
Density functional theory data (PBE-GGA) for a relaxed GaSbPdRh2 crystal.

a = 4.896 Å, b = 4.896 Å, c = 4.522 Å
α = 90.00°, β = 90.00°, γ = 90.00°
Fractional coordinates of all 5 atoms:
Ga1 0.000 0.000 0.000
Sb1 0.500 0.500 0.000
Pd1 0.000 0.000 0.500
Rh1 0.000 0.500 0.500
Rh2 0.500 0.000 0.500

Summary:
Space-group type: No. 123
ΔE_f (raw): 0.7862 eV per atom

---

4.
Density functional theory data (PBE-GGA) for a relaxed NdErCu crystal.

a = 4.791 Å, b = 4.791 Å, c = 3.891 Å
α = 90.00°, β = 90.00°, γ = 120.00°
Fractional coordinates of all 3 atoms:
Nd1 0.000 0.000 0.000
Er1 0.667 0.333 0.477
Cu1 0.333 0.667 0.642

Summary:
DFT formation energy: 55 meV/atom
Space-group type: No. 156

---

5.
Density functional theory data (PBE-GGA) for a relaxed Pm2NdGa6 crystal.

a = 7.942 Å, b = 7.942 Å, c = 7.942 Å
α = 147.70°, β = 125.98°, γ = 64.35°
Fractional coordinates of all 9 atoms:
Pm1 0.130 0.130 0.000
Pm2 0.870 0.870 0.000
Nd1 0.500 0.000 0.500
Ga1 0.131 0.321 0.810
Ga2 0.184 0.500 0.684
Ga3 0.489 0.679 0.810
Ga4 0.511 0.321 0.190
Ga5 0.816 0.500 0.316
Ga6 0.869 0.679 0.190

Summary:
DFT formation energy: -463 meV/atom
Space-group type: No. 71

---

6.
Density functional theory data (PBE-GGA) for a relaxed K2ZrMo crystal.

a = 7.118 Å, b = 7.118 Å, c = 2.907 Å
α = 90.00°, β = 90.00°, γ = 132.46°
Fractional coordinates of all 4 atoms:
K1 0.000 0.500 0.000
K2 0.500 0.000 0.000
Zr1 0.000 0.000 0.500
Mo1 0.500 0.500 0.500

Summary:
DFT formation energy: 1337 meV/atom
Space-group type: No. 65

---

Repeat the second record exactly.
Density functional theory data (PBE-GGA) for a relaxed KRb2TcF6 crystal.

a = 12.887 Å, b = 12.887 Å, c = 12.887 Å
α = 28.13°, β = 28.13°, γ = 28.13°
Fractional coordinates of all 20 atoms:
K1 0.163 0.163 0.163
K2 0.837 0.837 0.837
Rb1 0.269 0.269 0.269
Rb2 0.413 0.413 0.413
Rb3 0.587 0.587 0.587
Rb4 0.731 0.731 0.731
Tc1 0.000 0.000 0.000
Tc2 0.500 0.500 0.500
F1 0.054 0.054 0.534
F2 0.054 0.534 0.054
F3 0.177 0.177 0.735
F4 0.177 0.735 0.177
F5 0.265 0.823 0.823
F6 0.466 0.946 0.946
F7 0.534 0.054 0.054
F8 0.735 0.177 0.177
F9 0.823 0.265 0.823
F10 0.823 0.823 0.265
F11 0.946 0.466 0.946
F12 0.946 0.946 0.466

Summary:
Space-group type: No. 166
ΔE_f (raw): -1.9505 eV per atom